[1]
Crystalline BaZrH2Cl8 at its relaxed geometry. Source: Alexandria, functional GGA-PBE.

uncorrected energy: -50.37 eV for the cell shown
symmetry: P-1, No. 2
ρ: 2.21 Mg/m³

Cell: 6.8536 7.2379 8.6033 Å, 82.59 68.73 76.44°
Element x y z (fractional)
1 Ba 0.0000 0.0000 0.0000
2 Zr 0.0000 0.0000 0.5000
3 H 0.2614 0.6239 0.7235
4 H 0.7386 0.3761 0.2765
5 Cl 0.2058 0.1297 0.6329
6 Cl 0.2268 0.6787 0.5054
7 Cl 0.2528 0.0707 0.2137
8 Cl 0.2780 0.5898 0.8772
9 Cl 0.7220 0.4102 0.1228
10 Cl 0.7472 0.9293 0.7863
11 Cl 0.7732 0.3213 0.4946
12 Cl 0.7942 0.8703 0.3671

[2]
Crystalline BaHfCl3 at its relaxed geometry. Source: Alexandria, functional GGA-PBE.

uncorrected energy: -20.18 eV for the cell shown
symmetry: Pm-3m, No. 221
formation energy without anion corrections: -0.55 eV/atom
ρ: 3.28 Mg/m³

Cell: 5.9803 5.9803 5.9803 Å, 90.00 90.00 90.00°
Element x y z (fractional)
1 Ba 0.0000 0.0000 0.0000
2 Hf 0.5000 0.5000 0.5000
3 Cl 0.0000 0.0000 0.5000
4 Cl 0.0000 0.5000 0.0000
5 Cl 0.5000 0.0000 0.0000

[3]
Crystalline Ba3HfCl at its relaxed geometry. Source: Alexandria, functional GGA-PBE.

uncorrected energy: -17.84 eV for the cell shown
symmetry: Pm-3m, No. 221
formation energy without anion corrections: -0.05 eV/atom
ρ: 4.75 Mg/m³

Cell: 6.0269 6.0269 6.0269 Å, 90.00 90.00 90.00°
Element x y z (fractional)
1 Ba 0.0000 0.0000 0.5000
2 Ba 0.0000 0.5000 0.0000
3 Ba 0.5000 0.0000 0.0000
4 Hf 0.5000 0.5000 0.5000
5 Cl 0.0000 0.0000 0.0000

[4]
Crystalline BaHfCl2 at its relaxed geometry. Source: Alexandria, functional GGA-PBE.

uncorrected energy: -36.89 eV for the cell shown
symmetry: I-42d, No. 122
formation energy without anion corrections: -0.72 eV/atom
ρ: 5.18 Mg/m³

Cell: 9.1035 9.1035 9.1035 Å, 144.90 144.90 50.48°
Element x y z (fractional)
1 Ba 0.0000 0.0000 0.0000
2 Ba 0.7500 0.2500 0.5000
3 Hf 0.2500 0.7500 0.5000
4 Hf 0.5000 0.5000 0.0000
5 Cl 0.2447 0.6250 0.1197
6 Cl 0.3750 0.4947 0.6197
7 Cl 0.5053 0.1250 0.8803
8 Cl 0.8750 0.7553 0.3803

[5]
Crystalline BaHf2Cl at its relaxed geometry. Source: Alexandria, functional GGA-PBE.

uncorrected energy: -19.74 eV for the cell shown
symmetry: Fm-3m, No. 225
formation energy without anion corrections: 0.98 eV/atom
ρ: 8.40 Mg/m³

Cell: 5.2909 5.2909 5.2909 Å, 60.00 60.00 60.00°
Element x y z (fractional)
1 Ba 0.0000 0.0000 0.0000
2 Hf 0.2500 0.2500 0.2500
3 Hf 0.7500 0.7500 0.7500
4 Cl 0.5000 0.5000 0.5000

[6]
Crystalline BaHfCl2 at its relaxed geometry. Source: Alexandria, functional GGA-PBE.

uncorrected energy: -18.59 eV for the cell shown
symmetry: R-3m, No. 166
formation energy without anion corrections: -0.75 eV/atom
ρ: 6.26 Mg/m³

Cell: 10.3631 10.3631 10.3631 Å, 18.95 18.95 18.95°
Element x y z (fractional)
1 Ba 0.0000 0.0000 0.0000
2 Hf 0.5000 0.5000 0.5000
3 Cl 0.1068 0.1068 0.1068
4 Cl 0.8932 0.8932 0.8932

[7]
Crystalline BaHf2Cl at its relaxed geometry. Source: Alexandria, functional GGA-PBE.

uncorrected energy: -43.23 eV for the cell shown
symmetry: I-42d, No. 122
formation energy without anion corrections: 0.52 eV/atom
ρ: 6.70 Mg/m³

Cell: 10.2712 10.2712 10.2712 Å, 150.47 150.47 42.26°
Element x y z (fractional)
1 Ba 0.0000 0.0000 0.0000
2 Ba 0.7500 0.2500 0.5000
3 Hf 0.3309 0.6250 0.2059
4 Hf 0.3750 0.5809 0.7059
5 Hf 0.4191 0.1250 0.7941
6 Hf 0.8750 0.6691 0.2941
7 Cl 0.2500 0.7500 0.5000
8 Cl 0.5000 0.5000 0.0000

[8]
Crystalline BaHfCl3 at its relaxed geometry. Source: Alexandria, functional GGA-PBE.

uncorrected energy: -23.39 eV for the cell shown
symmetry: Pm-3m, No. 221
formation energy without anion corrections: -1.20 eV/atom
ρ: 5.49 Mg/m³

Cell: 5.0371 5.0371 5.0371 Å, 90.00 90.00 90.00°
Element x y z (fractional)
1 Ba 0.0000 0.0000 0.0000
2 Hf 0.5000 0.5000 0.5000
3 Cl 0.0000 0.5000 0.5000
4 Cl 0.5000 0.0000 0.5000
5 Cl 0.5000 0.5000 0.0000